Record 1
Material: SrTbNpN3
Method: DFT, PBE-GGA
State: relaxed

Values from the calculation:
- formation energy from raw total energies (meV per atom) = -920

Cell and atoms, written as POSCAR:
```
SrTbNpN3
1.0
-0.983 3.185 -1.502
1.738 -2.687 -6.832
-8.503 -2.324 0.641
Sr Tb Np N
2 2 2 6
direct
0.750 0.824 0.856 Sr
0.250 0.176 0.144 Sr
0.250 0.619 0.147 Tb
0.750 0.381 0.853 Tb
0.250 0.057 0.595 Np
0.750 0.943 0.405 Np
0.250 0.789 0.414 N
0.750 0.901 0.174 N
0.750 0.416 0.116 N
0.750 0.211 0.586 N
0.250 0.584 0.884 N
0.250 0.099 0.826 N
```

=====

Record 2
Material: Sr3Np3TcN8
Method: DFT, PBE-GGA
State: relaxed

Values from the calculation:
- formation energy from raw total energies (meV per atom) = -812

Cell and atoms, written as POSCAR:
```
Sr3Np3TcN8
1.0
6.815 0.000 0.000
-3.408 5.902 -0.019
0.000 -3.916 5.946
Sr Np Tc N
3 3 1 8
direct
0.000 0.000 0.000 Sr
0.000 0.500 0.000 Sr
0.500 0.500 0.000 Sr
0.500 0.000 0.500 Np
0.500 0.500 0.500 Np
0.000 0.500 0.500 Np
0.000 0.000 0.500 Tc
0.264 0.529 0.293 N
0.736 0.471 0.707 N
0.777 0.555 0.320 N
0.223 0.445 0.680 N
0.777 0.043 0.320 N
0.223 0.957 0.680 N
0.265 0.043 0.320 N
0.735 0.957 0.680 N
```

=====

Record 3
Material: SrNp2TcN4
Method: DFT, PBE-GGA
State: relaxed

Values from the calculation:
- formation energy from raw total energies (meV per atom) = -815

Cell and atoms, written as POSCAR:
```
SrNp2TcN4
1.0
3.480 0.000 0.000
-1.740 5.855 0.000
0.000 0.000 12.016
Sr Np Tc N
2 4 2 8
direct
0.082 0.164 0.750 Sr
0.918 0.836 0.250 Sr
0.369 0.738 0.550 Np
0.631 0.262 0.050 Np
0.631 0.262 0.450 Np
0.369 0.738 0.950 Np
0.819 0.637 0.750 Tc
0.181 0.363 0.250 Tc
0.253 0.506 0.098 N
0.747 0.494 0.598 N
0.747 0.494 0.902 N
0.253 0.506 0.402 N
0.000 0.000 0.500 N
0.000 0.000 0.000 N
0.414 0.828 0.750 N
0.586 0.172 0.250 N
```

=====

Record 4
Material: Sr4Th3NpN8
Method: DFT, PBE-GGA
State: relaxed

Values from the calculation:
- formation energy from raw total energies (meV per atom) = -1221

Cell and atoms, written as POSCAR:
```
Sr4Th3NpN8
1.0
-5.123 -0.716 -5.271
2.430 -6.853 -1.431
-2.000 1.837 6.869
Sr Th Np N
4 3 1 8
direct
0.500 0.000 0.000 Sr
0.500 0.000 0.500 Sr
0.000 0.000 0.000 Sr
0.000 0.000 0.500 Sr
0.500 0.500 0.000 Th
0.500 0.500 0.500 Th
0.000 0.500 0.500 Th
0.000 0.500 0.000 Np
0.226 0.703 0.977 N
0.226 0.703 0.453 N
0.264 0.293 0.529 N
0.750 0.703 0.977 N
0.250 0.297 0.023 N
0.736 0.707 0.471 N
0.774 0.297 0.547 N
0.774 0.297 0.023 N
```

=====

Question: Among the records above, which one has the highest formation energy from raw total energies?
Answer: Sr3Np3TcN8